[1]
First-principles (PBE) data for a relaxed YIr2Rh crystal, as listed in Alexandria via LeMat-Bulk.

Cell lengths 4.016, 4.016, 4.149 Å; angles 90.00, 90.00, 90.00 degrees
Space group P4/mmm (No. 123)
One atom of each set of equivalent atoms:
Y1 0.000 0.000 0.000 x1
Ir1 0.000 0.500 0.500 x2
Rh1 0.500 0.500 0.000 x1

Calculated values
The value obtained for the energy above the most stable polymorph in this dataset is 0 meV per atom. For the spin magnetization, the calculation gives 0.000 μB/cell.


[2]
First-principles (PBE) data for a relaxed Nd3ErTe4 crystal, as listed in Alexandria via LeMat-Bulk.

Cell lengths 9.050, 12.607, 4.385 Å; angles 90.00, 90.00, 90.00 degrees
Space group Cmmm (No. 65)
One atom of each set of equivalent atoms:
Nd1 0.000 0.000 0.000 x2
Nd2 0.250 0.250 0.500 x4
Er1 0.000 0.500 0.000 x2
Te1 0.000 0.255 0.000 x4
Te2 0.239 0.500 0.500 x4

Calculated values
For the spin magnetization, the calculation gives 0.000 μB/cell. For the formation energy from raw total energies, the calculation gives -1367.5 meV per atom.


[3]
First-principles (PBE) data for a relaxed Pr2SnBPd6 crystal, as listed in Alexandria via LeMat-Bulk.

Cell lengths 5.822, 5.847, 7.402 Å; angles 67.65, 66.93, 60.17 degrees
Space group P-1 (No. 2)
One atom of each set of equivalent atoms:
Pr1 0.222 0.243 0.318 x2
Sn1 0.500 0.500 0.500 x1
B1 0.000 0.000 0.000 x1
Pd1 0.231 0.694 0.839 x2
Pd2 0.239 0.214 0.811 x2
Pd3 0.271 0.787 0.185 x2

Calculated values
For the spin magnetization, the calculation gives 0.000 μB/cell. For the energy, the calculation gives -58.068 eV per cell.


[4]
First-principles (PBE) data for a relaxed ThAl2Ge crystal, as listed in Alexandria via LeMat-Bulk.

Cell lengths 4.318, 4.318, 4.623 Å; angles 90.00, 90.00, 90.00 degrees
Space group P4/mmm (No. 123)
One atom of each set of equivalent atoms:
Th1 0.000 0.000 0.000 x1
Al1 0.000 0.500 0.500 x2
Ge1 0.500 0.500 0.000 x1

Calculated values
For the spin magnetization, the calculation gives 0.000 μB/cell. For the energy, the calculation gives -21.013 eV per cell.


[5]
First-principles (PBE) data for a relaxed ScMnV2B crystal, as listed in Alexandria via LeMat-Bulk.

Cell lengths 4.396, 4.396, 4.284 Å; angles 90.00, 90.00, 90.00 degrees
Space group P4/mmm (No. 123)
One atom of each set of equivalent atoms:
Sc1 0.000 0.000 0.000 x1
Mn1 0.000 0.000 0.500 x1
V1 0.000 0.500 0.000 x2
B1 0.500 0.500 0.500 x1

Calculated values
For the spin magnetization, the calculation gives 0.527 μB/cell. For the energy, the calculation gives -28.903 eV per cell.


[6]
First-principles (PBE) data for a relaxed La4CrAs crystal, as listed in Alexandria via LeMat-Bulk.

Cell lengths 9.021, 9.021, 9.021 Å; angles 90.00, 90.00, 90.00 degrees
Space group F-43m (No. 216)
One atom of each set of equivalent atoms:
La1 0.124 0.124 0.124 x16
Cr1 0.000 0.000 0.500 x4
As1 0.250 0.250 0.750 x4

Calculated values
For the spin magnetization, the calculation gives 19.176 μB/cell. For the energy, the calculation gives -124.550 eV per cell.


[7]
First-principles (PBE) data for a relaxed RePPb crystal, as listed in Alexandria via LeMat-Bulk.

Cell lengths 3.177, 4.521, 8.473 Å; angles 90.00, 90.00, 90.00 degrees
Space group Pmmn (No. 59, origin choice 2)
One atom of each set of equivalent atoms:
Re1 0.250 0.250 0.053 x2
P1 0.250 0.750 0.158 x2
Pb1 0.250 0.750 0.621 x2

Calculated values
The value obtained for the energy above the most stable polymorph in this dataset is 52 meV per atom. For the spin magnetization, the calculation gives 0.000 μB/cell.


[8]
First-principles (PBE) data for a relaxed TmBe2SiPd2 crystal, as listed in Alexandria via LeMat-Bulk.

Cell lengths 4.105, 4.105, 5.575 Å; angles 90.00, 90.00, 90.00 degrees
Space group P4/mmm (No. 123)
One atom of each set of equivalent atoms:
Tm1 0.000 0.000 0.000 x1
Be1 0.000 0.500 0.500 x2
Si1 0.000 0.000 0.500 x1
Pd1 0.500 0.500 0.248 x2

Calculated values
For the spin magnetization, the calculation gives 0.000 μB/cell. For the formation energy from raw total energies, the calculation gives -228.6 meV per atom.


[9]
First-principles (PBE) data for a relaxed Li2MgHg crystal, as listed in Alexandria via LeMat-Bulk.

Cell lengths 3.051, 4.674, 5.553 Å; angles 90.00, 100.55, 90.00 degrees
Space group Pm (No. 6)
One atom of each set of equivalent atoms:
Li1 0.000 0.000 0.000 x1
Li2 0.166 0.500 0.754 x1
Mg1 0.678 0.500 0.261 x1
Hg1 0.403 0.000 0.528 x1

Calculated values
The value obtained for the energy above the most stable polymorph in this dataset is 72 meV per atom. For the spin magnetization, the calculation gives 0.000 μB/cell.


[10]
First-principles (PBE) data for a relaxed TbDy3C crystal, as listed in Alexandria via LeMat-Bulk.

Cell lengths 5.052, 5.052, 5.052 Å; angles 90.00, 90.00, 90.00 degrees
Space group Pm-3m (No. 221)
One atom of each set of equivalent atoms:
Tb1 0.000 0.000 0.000 x1
Dy1 0.000 0.500 0.500 x3
C1 0.500 0.500 0.500 x1

Calculated values
For the spin magnetization, the calculation gives 0.000 μB/cell. For the energy, the calculation gives -27.703 eV per cell.


| no. | Fermi-level density of states (states/eV/cell) |
| --- | --- |
| 1 | 4.19 |
| 2 | 9.88 |
| 3 | 6.84 |
| 4 | 2.76 |
| 5 | 6.40 |
| 6 | 37.70 |
| 7 | 4.51 |
| 8 | 1.61 |
| 9 | 0.75 |
| 10 | 5.69 |